# 1
CeErAu2 (GGA-PBE, relaxed); final energy = -5.01 eV per atom; space-group type = P4/mmm; calculated volume = 96 Å³ per cell
1.0
3.5647 0.0000 0.0000
0.0000 3.5647 0.0000
0.0000 0.0000 7.5225
Ce Er Au
1 1 2
direct
0.0000 0.0000 0.0000 Ce
0.0000 0.0000 0.5000 Er
0.5000 0.5000 0.2740 Au
0.5000 0.5000 0.7260 Au



# 2
Mn2SiW (GGA-PBE, relaxed); final energy = -9.18 eV per atom; space-group type = P2/m; calculated volume = 51 Å³ per cell; formation energy without anion corrections = -1 meV/atom
1.0
2.6567 0.0000 0.0000
0.0000 4.1843 0.0000
-0.2734 0.0000 4.6268
Mn Si W
2 1 1
direct
0.1970 0.0000 0.2577 Mn
0.8030 0.0000 0.7423 Mn
0.0000 0.5000 0.5000 Si
0.5000 0.5000 0.0000 W



# 3
Y2AlTc (GGA-PBE, relaxed); final energy = -6.74 eV per atom; space-group type = F-43m; calculated volume = 83 Å³ per cell
1.0
0.0000 3.4591 3.4591
3.4591 0.0000 3.4591
3.4591 3.4591 0.0000
Y Al Tc
2 1 1
direct
0.0000 0.0000 0.0000 Y
0.2500 0.2500 0.2500 Y
0.7500 0.7500 0.7500 Al
0.5000 0.5000 0.5000 Tc



- Number 1 is which compound?
  CeErAu2



- The highest calculated volume belongs to which entry?
  CeErAu2



- Look up the final energy of the first one.
  -5.01 eV per atom